A relaxed In2BiOsN crystal. Source: Alexandria via LeMat-Bulk, functional PBE-GGA.

Cell lengths 5.564, 5.564, 3.716 Å; angles 90.00, 90.00, 90.00 degrees
Space group P4/mmm (No. 123)
Symmetry-distinct sites (fractional):
1 In 0.000 0.500 0.000
2 Bi 0.000 0.000 0.500
3 Os 0.500 0.500 0.000
4 N 0.500 0.500 0.500

Total DFT energy (no corrections): -5.460 eV/atom
Size of the total moment: 0.00 μB per formula unit
D(E_F): 2.79 states/eV per cell
Formation energy without anion corrections: 0.32 eV/atom